one | # Er5Tm2Sc4 PBE relaxed
# Crystal system ... monoclinic
# Mass density ... 7.053 g/cm³
# Volume ... 318.8 Å³/cell
data_Er5Tm2Sc4
_chemical_formula_sum 'Er5 Tm2 Sc4'
_space_group_name_H-M_alt 'P 1'
_space_group_IT_number 1
_cell_length_a 3.472
_cell_length_b 8.645
_cell_length_c 10.655
_cell_angle_alpha 94.57
_cell_angle_beta 90.00
_cell_angle_gamma 90.00
loop_
_space_group_symop_operation_xyz
'x,y,z'
loop_
_atom_site_label
_atom_site_type_symbol
_atom_site_fract_x
_atom_site_fract_y
_atom_site_fract_z
Er1 Er 0.000 0.500 0.000
Er2 Er 0.000 0.146 0.132
Er3 Er 0.000 0.854 0.868
Er4 Er 0.000 0.549 0.334
Er5 Er 0.000 0.451 0.666
Tm1 Tm 0.000 0.925 0.364
Tm2 Tm 0.000 0.075 0.636
Sc1 Sc 0.500 0.202 0.870
Sc2 Sc 0.500 0.798 0.130
Sc3 Sc 0.500 0.246 0.425
Sc4 Sc 0.500 0.754 0.575



two | # Er5Tm2Sc4 PBE relaxed
# Crystal system ... monoclinic
# Mass density ... 7.079 g/cm³
# Volume ... 317.6 Å³/cell
data_Er5Tm2Sc4
_chemical_formula_sum 'Er5 Tm2 Sc4'
_space_group_name_H-M_alt 'P 1'
_space_group_IT_number 1
_cell_length_a 6.584
_cell_length_b 6.693
_cell_length_c 8.913
_cell_angle_alpha 81.22
_cell_angle_beta 68.32
_cell_angle_gamma 60.54
loop_
_space_group_symop_operation_xyz
'x,y,z'
loop_
_atom_site_label
_atom_site_type_symbol
_atom_site_fract_x
_atom_site_fract_y
_atom_site_fract_z
Er1 Er 0.238 0.152 0.833
Er2 Er 0.762 0.848 0.167
Er3 Er 0.000 0.500 0.500
Er4 Er 0.776 0.152 0.833
Er5 Er 0.224 0.848 0.167
Tm1 Tm 0.296 0.618 0.789
Tm2 Tm 0.704 0.382 0.211
Sc1 Sc 0.296 0.929 0.480
Sc2 Sc 0.704 0.071 0.520
Sc3 Sc 0.726 0.684 0.863
Sc4 Sc 0.274 0.316 0.137



Question: which arrangement is favored energetically? Ranking from most to least stable: one, two.



one | # Er4Tm2Sc5 PBE relaxed
# Crystal system ... monoclinic
# Mass density ... 6.669 g/cm³
# Volume ... 306.7 Å³/cell
data_Er4Tm2Sc5
_chemical_formula_sum 'Er4 Tm2 Sc5'
_space_group_name_H-M_alt 'P 1'
_space_group_IT_number 1
_cell_length_a 5.392
_cell_length_b 6.303
_cell_length_c 9.419
_cell_angle_alpha 90.33
_cell_angle_beta 106.63
_cell_angle_gamma 90.00
loop_
_space_group_symop_operation_xyz
'x,y,z'
loop_
_atom_site_label
_atom_site_type_symbol
_atom_site_fract_x
_atom_site_fract_y
_atom_site_fract_z
Er1 Er 0.311 0.921 0.623
Er2 Er 0.962 0.740 0.925
Er3 Er 0.689 0.079 0.377
Er4 Er 0.038 0.260 0.075
Tm1 Tm 0.402 0.435 0.803
Tm2 Tm 0.598 0.565 0.197
Sc1 Sc 0.784 0.604 0.568
Sc2 Sc 0.216 0.396 0.432
Sc3 Sc 0.866 0.157 0.731
Sc4 Sc 0.500 0.000 0.000
Sc5 Sc 0.134 0.843 0.269



two | # Er4Tm2Sc5 PBE relaxed
# Crystal system ... monoclinic
# Mass density ... 6.580 g/cm³
# Volume ... 310.8 Å³/cell
data_Er4Tm2Sc5
_chemical_formula_sum 'Er4 Tm2 Sc5'
_space_group_name_H-M_alt 'P 1'
_space_group_IT_number 1
_cell_length_a 3.430
_cell_length_b 8.458
_cell_length_c 11.611
_cell_angle_alpha 110.87
_cell_angle_beta 98.49
_cell_angle_gamma 90.00
loop_
_space_group_symop_operation_xyz
'x,y,z'
loop_
_atom_site_label
_atom_site_type_symbol
_atom_site_fract_x
_atom_site_fract_y
_atom_site_fract_z
Er1 Er 0.678 0.515 0.355
Er2 Er 0.965 0.633 0.930
Er3 Er 0.322 0.485 0.645
Er4 Er 0.035 0.367 0.070
Tm1 Tm 0.730 0.133 0.461
Tm2 Tm 0.270 0.867 0.539
Sc1 Sc 0.119 0.796 0.238
Sc2 Sc 0.881 0.204 0.762
Sc3 Sc 0.121 0.163 0.242
Sc4 Sc 0.500 0.000 0.000
Sc5 Sc 0.879 0.837 0.758



Question: which arrangement is favored energetically? Ranking from most to least stable: one, two.



one | # Er2Tm4Sc5 PBE relaxed
# Crystal system ... monoclinic
# Mass density ... 6.591 g/cm³
# Volume ... 311.2 Å³/cell
data_Er2Tm4Sc5
_chemical_formula_sum 'Er2 Tm4 Sc5'
_space_group_name_H-M_alt 'P 1'
_space_group_IT_number 1
_cell_length_a 3.337
_cell_length_b 8.266
_cell_length_c 13.709
_cell_angle_alpha 123.72
_cell_angle_beta 96.99
_cell_angle_gamma 90.00
loop_
_space_group_symop_operation_xyz
'x,y,z'
loop_
_atom_site_label
_atom_site_type_symbol
_atom_site_fract_x
_atom_site_fract_y
_atom_site_fract_z
Er1 Er 0.588 0.481 0.176
Er2 Er 0.412 0.519 0.824
Tm1 Tm 0.727 0.628 0.453
Tm2 Tm 0.044 0.749 0.088
Tm3 Tm 0.273 0.372 0.547
Tm4 Tm 0.956 0.251 0.912
Sc1 Sc 0.187 0.899 0.375
Sc2 Sc 0.813 0.101 0.625
Sc3 Sc 0.129 0.218 0.258
Sc4 Sc 0.500 0.000 0.000
Sc5 Sc 0.871 0.782 0.742



two | # Er2Tm4Sc5 PBE relaxed
# Crystal system ... triclinic
# Mass density ... 6.712 g/cm³
# Volume ... 305.5 Å³/cell
data_Er2Tm4Sc5
_chemical_formula_sum 'Er2 Tm4 Sc5'
_space_group_name_H-M_alt 'P 1'
_space_group_IT_number 1
_cell_length_a 6.322
_cell_length_b 5.735
_cell_length_c 11.703
_cell_angle_alpha 105.65
_cell_angle_beta 126.00
_cell_angle_gamma 62.88
loop_
_space_group_symop_operation_xyz
'x,y,z'
loop_
_atom_site_label
_atom_site_type_symbol
_atom_site_fract_x
_atom_site_fract_y
_atom_site_fract_z
Er1 Er 0.411 0.521 0.792
Er2 Er 0.589 0.479 0.208
Tm1 Tm 0.325 0.990 0.633
Tm2 Tm 0.987 0.682 0.903
Tm3 Tm 0.675 0.010 0.367
Tm4 Tm 0.013 0.318 0.097
Sc1 Sc 0.765 0.566 0.542
Sc2 Sc 0.235 0.434 0.458
Sc3 Sc 0.872 0.115 0.713
Sc4 Sc 0.500 0.000 0.000
Sc5 Sc 0.128 0.885 0.287



Question: which arrangement is favored energetically? Ranking from most to least stable: two, one.



one | # Er3Tm2Sc PBE relaxed
# Crystal system ... monoclinic
# Mass density ... 8.159 g/cm³
# Volume ... 360.1 Å³/cell
data_Er3Tm2Sc
_chemical_formula_sum 'Er6 Tm4 Sc2'
_space_group_name_H-M_alt 'P 1'
_space_group_IT_number 1
_cell_length_a 3.400
_cell_length_b 8.819
_cell_length_c 12.561
_cell_angle_alpha 78.30
_cell_angle_beta 82.22
_cell_angle_gamma 78.89
loop_
_space_group_symop_operation_xyz
'x,y,z'
loop_
_atom_site_label
_atom_site_type_symbol
_atom_site_fract_x
_atom_site_fract_y
_atom_site_fract_z
Er1 Er 0.039 0.140 0.783
Er2 Er 0.961 0.860 0.217
Er3 Er 0.599 0.827 0.974
Er4 Er 0.401 0.173 0.026
Er5 Er 0.743 0.808 0.706
Er6 Er 0.257 0.192 0.294
Tm1 Tm 0.820 0.479 0.880
Tm2 Tm 0.180 0.521 0.120
Tm3 Tm 0.656 0.156 0.532
Tm4 Tm 0.344 0.844 0.468
Sc1 Sc 0.438 0.482 0.641
Sc2 Sc 0.562 0.518 0.359



two | # Er3Tm2Sc PBE relaxed
# Crystal system ... monoclinic
# Mass density ... 8.342 g/cm³
# Volume ... 352.2 Å³/cell
data_Er3Tm2Sc
_chemical_formula_sum 'Er6 Tm4 Sc2'
_space_group_name_H-M_alt 'P 1'
_space_group_IT_number 1
_cell_length_a 5.995
_cell_length_b 6.931
_cell_length_c 9.156
_cell_angle_alpha 112.24
_cell_angle_beta 89.95
_cell_angle_gamma 90.00
loop_
_space_group_symop_operation_xyz
'x,y,z'
loop_
_atom_site_label
_atom_site_type_symbol
_atom_site_fract_x
_atom_site_fract_y
_atom_site_fract_z
Er1 Er 0.250 0.372 0.000
Er2 Er 0.750 0.628 0.000
Er3 Er 0.081 0.288 0.329
Er4 Er 0.419 0.960 0.671
Er5 Er 0.581 0.040 0.329
Er6 Er 0.919 0.712 0.671
Tm1 Tm 0.585 0.540 0.331
Tm2 Tm 0.085 0.791 0.331
Tm3 Tm 0.915 0.209 0.669
Tm4 Tm 0.415 0.460 0.669
Sc1 Sc 0.750 0.123 0.000
Sc2 Sc 0.250 0.877 0.000



Question: which arrangement is favored energetically? Ranking from most to least stable: two, one.



one | # ErTm8Sc6 PBE relaxed
# Crystal system ... trigonal
# Mass density ... 7.001 g/cm³
# Volume ... 424.2 Å³/cell
data_ErTm8Sc6
_chemical_formula_sum 'Er1 Tm8 Sc6'
_space_group_name_H-M_alt 'P 1'
_space_group_IT_number 1
_cell_length_a 8.263
_cell_length_b 8.263
_cell_length_c 8.263
_cell_angle_alpha 62.86
_cell_angle_beta 62.86
_cell_angle_gamma 62.86
loop_
_space_group_symop_operation_xyz
'x,y,z'
loop_
_atom_site_label
_atom_site_type_symbol
_atom_site_fract_x
_atom_site_fract_y
_atom_site_fract_z
Er1 Er 0.000 0.000 0.000
Tm1 Tm 0.111 0.715 0.750
Tm2 Tm 0.250 0.889 0.285
Tm3 Tm 0.285 0.250 0.889
Tm4 Tm 0.578 0.578 0.578
Tm5 Tm 0.422 0.422 0.422
Tm6 Tm 0.715 0.750 0.111
Tm7 Tm 0.750 0.111 0.715
Tm8 Tm 0.889 0.285 0.250
Sc1 Sc 0.896 0.465 0.757
Sc2 Sc 0.243 0.104 0.535
Sc3 Sc 0.535 0.243 0.104
Sc4 Sc 0.465 0.757 0.896
Sc5 Sc 0.757 0.896 0.465
Sc6 Sc 0.104 0.535 0.243



two | # ErTm8Sc6 PBE relaxed
# Crystal system ... trigonal
# Mass density ... 6.988 g/cm³
# Volume ... 425.0 Å³/cell
data_ErTm8Sc6
_chemical_formula_sum 'Er1 Tm8 Sc6'
_space_group_name_H-M_alt 'P 1'
_space_group_IT_number 1
_cell_length_a 9.266
_cell_length_b 9.266
_cell_length_c 7.828
_cell_angle_alpha 53.71
_cell_angle_beta 53.71
_cell_angle_gamma 60.00
loop_
_space_group_symop_operation_xyz
'x,y,z'
loop_
_atom_site_label
_atom_site_type_symbol
_atom_site_fract_x
_atom_site_fract_y
_atom_site_fract_z
Er1 Er 0.000 0.000 0.000
Tm1 Tm 0.363 0.228 0.478
Tm2 Tm 0.772 0.068 0.522
Tm3 Tm 0.068 0.637 0.522
Tm4 Tm 0.590 0.590 0.229
Tm5 Tm 0.410 0.410 0.771
Tm6 Tm 0.932 0.363 0.478
Tm7 Tm 0.228 0.932 0.478
Tm8 Tm 0.637 0.772 0.522
Sc1 Sc 0.388 0.942 0.960
Sc2 Sc 0.058 0.290 0.040
Sc3 Sc 0.290 0.612 0.040
Sc4 Sc 0.710 0.388 0.960
Sc5 Sc 0.942 0.710 0.960
Sc6 Sc 0.612 0.058 0.040



Question: which arrangement is favored energetically? Ranking from most to least stable: one, two.